The following is a PBE calculation of an optimized crystal structure of K2HfO4, from OQMD via LeMat-Bulk.

The structure in POSCAR format:
```
K2HfO4
1.0
0.0000 5.0689 5.0689
5.0689 0.0000 5.0689
5.0689 5.0689 0.0000
K Hf O
4 2 8
Direct
0.0000 0.0000 0.0000
0.0000 0.0000 0.5000
0.0000 0.5000 0.0000
0.5000 0.0000 0.0000
0.3750 0.3750 0.3750
0.6250 0.6250 0.6250
0.2636 0.2636 0.2636
0.2636 0.2636 0.7092
0.2636 0.7092 0.2636
0.2908 0.7364 0.7364
0.7092 0.2636 0.2636
0.7364 0.2908 0.7364
0.7364 0.7364 0.2908
0.7364 0.7364 0.7364
```

raw total energy = -88.71 eV/cell

***

The following is a PBE calculation of an optimized crystal structure of NaScSiPt, from OQMD via LeMat-Bulk.

The structure in POSCAR format:
```
NaScSiPt
1.0
0.0000 3.2000 3.2000
3.2000 0.0000 3.2000
3.2000 3.2000 0.0000
Na Sc Si Pt
1 1 1 1
Direct
0.0000 0.0000 0.0000
0.7500 0.7500 0.7500
0.2500 0.2500 0.2500
0.5000 0.5000 0.5000
```

energy relative to the lowest polymorph listed for this composition = 0 meV per atom

***

Number 1: magnetic moment 4.000 Bohr magnetons per cell. Number 2: magnetic moment 0.001 Bohr magnetons per cell.